Material: Pm3PrEr2
Method: DFT, GGA-PBE
State: optimized geometry

The structure belongs to space group P-1 (No. 2); the cell edges are 6.300, 7.290 and 8.982 Å and the angles 78.29°, 83.25° and 89.99°. The inequivalent atoms are Pm at (0.139, 0.459, 0.164), Pm at (0.140, 0.959, 0.164), Pm at (0.252, 0.624, 0.504), Pr at (0.252, 0.125, 0.504), Er at (0.363, 0.292, 0.836) and Er at (0.363, 0.790, 0.836).

As for the offset from the most stable computed form: 0.00 eV/f.u. For the formation energy, the calculation gives 0.0 eV per formula unit. The final energy is -4.69 eV per atom. The value obtained for the magnetic moment is 0.00 μB per atom. The value obtained for the density of states at the Fermi level is 16.84 states/eV/cell.


Material: Pm12Pr3Er
Method: DFT, GGA-PBE
State: optimized geometry

The structure belongs to space group P4/mmm (No. 123); the cell edges are 5.165, 5.165 and 20.642 Å and the angles 90.00°, 90.00° and 90.00°. The inequivalent atoms are Pm at (0.000, 0.000, 0.000), Pm at (0.000, 0.000, 0.248), Pm at (0.000, 0.000, 0.500), Pm at (0.000, 0.500, 0.123), Pm at (0.000, 0.500, 0.374), Pr at (0.500, 0.500, 0.248), Pr at (0.500, 0.500, 0.500) and Er at (0.500, 0.500, 0.000).

For the formation energy, the calculation gives 0.2 eV per formula unit. The final energy is -4.73 eV per atom. The value obtained for the magnetic moment is 0.00 μB per atom. The value obtained for the density of states at the Fermi level is 24.38 states/eV/cell.


Material: Pm4Pr15Er
Method: DFT, GGA-PBE
State: optimized geometry

The structure belongs to space group P4/mmm (No. 123); the cell edges are 5.229, 5.229 and 26.044 Å and the angles 90.00°, 90.00° and 90.00°. The inequivalent atoms are Pm at (0.000, 0.000, 0.100), Pm at (0.000, 0.000, 0.301), Pr at (0.000, 0.500, 0.000), Pr at (0.000, 0.500, 0.201), Pr at (0.000, 0.500, 0.402), Pr at (0.500, 0.500, 0.100), Pr at (0.500, 0.500, 0.301), Pr at (0.500, 0.500, 0.500) and Er at (0.000, 0.000, 0.500).

For the formation energy, the calculation gives 0.3 eV per formula unit. The final energy is -4.75 eV per atom. The value obtained for the magnetic moment is 0.00 μB per atom. The value obtained for the density of states at the Fermi level is 29.65 states/eV/cell.


Material: PmPr3Er4
Method: DFT, GGA-PBE
State: optimized geometry

The structure belongs to space group Pmn2_1 (No. 31); the cell edges are 11.568, 7.331 and 6.299 Å and the angles 90.00°, 90.00° and 90.00°. The inequivalent atoms are Pm at (0.000, 0.130, 0.000), Pr at (0.000, 0.871, 0.499), Pr at (0.249, 0.871, 0.838), Er at (0.000, 0.380, 0.503), Er at (0.000, 0.619, 0.001) and Er at (0.250, 0.381, 0.835).

As for the offset from the most stable computed form: 0.06 eV/f.u. For the formation energy, the calculation gives 0.2 eV per formula unit. The final energy is -4.64 eV per atom. The value obtained for the magnetic moment is 0.00 μB per atom. The value obtained for the density of states at the Fermi level is 29.62 states/eV/cell.


Material: Pm4Pr5Er2
Method: DFT, GGA-PBE
State: optimized geometry

The structure belongs to space group Immm (No. 71); the cell edges are 3.548, 9.484 and 23.474 Å and the angles 90.00°, 90.00° and 90.00°. The inequivalent atoms are Pm at (0.000, 0.000, 0.096), Pm at (0.000, 0.301, 0.500), Pr at (0.000, 0.206, 0.349), Pr at (0.000, 0.500, 0.000) and Er at (0.000, 0.000, 0.230).

As for the offset from the most stable computed form: 1.58 eV/f.u. For the formation energy, the calculation gives 2.4 eV per formula unit. The final energy is -4.51 eV per atom. The value obtained for the magnetic moment is 0.00 μB per atom. The value obtained for the density of states at the Fermi level is 33.80 states/eV/cell.


Material: Pm3Pr2Er5
Method: DFT, GGA-PBE
State: optimized geometry

The structure belongs to space group Ibam (No. 72); the cell edges are 9.485, 21.859 and 6.825 Å and the angles 90.00°, 90.00° and 90.00°. The inequivalent atoms are Pm at (0.000, 0.000, 0.250), Pm at (0.248, 0.369, 0.000), Pr at (0.106, 0.126, 0.000), Er at (0.000, 0.252, 0.250), Er at (0.000, 0.500, 0.250) and Er at (0.084, 0.375, 0.500).

As for the offset from the most stable computed form: 2.12 eV/f.u. For the formation energy, the calculation gives 3.9 eV per formula unit. The final energy is -4.27 eV per atom. The value obtained for the magnetic moment is 0.00 μB per atom. The value obtained for the density of states at the Fermi level is 61.66 states/eV/cell.


Material: PmPr2Er8
Method: DFT, GGA-PBE
State: optimized geometry

The structure belongs to space group P-1 (No. 2); the cell edges are 6.157, 6.168 and 9.407 Å and the angles 90.10°, 96.31° and 99.53°. The inequivalent atoms are Pm at (0.000, 0.000, 0.000), Pr at (0.363, 0.726, 0.454), Er at (0.089, 0.181, 0.361), Er at (0.182, 0.362, 0.730), Er at (0.273, 0.546, 0.090) and Er at (0.456, 0.907, 0.821).

As for the offset from the most stable computed form: 0.00 eV/f.u. For the formation energy, the calculation gives 0.3 eV per formula unit. The final energy is -4.60 eV per atom. The value obtained for the magnetic moment is 0.00 μB per atom. The value obtained for the density of states at the Fermi level is 15.26 states/eV/cell.


Material: Pm2PrEr7
Method: DFT, GGA-PBE
State: optimized geometry

The structure belongs to space group Cmmm (No. 65); the cell edges are 8.575, 17.429 and 5.150 Å and the angles 90.00°, 90.00° and 90.00°. The inequivalent atoms are Pm at (0.000, 0.201, 0.000), Pr at (0.000, 0.500, 0.500), Er at (0.000, 0.000, 0.000), Er at (0.000, 0.303, 0.500) and Er at (0.180, 0.391, 0.000).

As for the offset from the most stable computed form: 6.74 eV/f.u. For the formation energy, the calculation gives 7.0 eV per formula unit. The final energy is -3.93 eV per atom. The value obtained for the magnetic moment is 0.00 μB per atom. The value obtained for the density of states at the Fermi level is 29.29 states/eV/cell.


Material: Pm7Pr16Er6
Method: DFT, GGA-PBE
State: optimized geometry

The structure belongs to space group Fm-3m (No. 225); the cell edges are 16.167, 16.167 and 16.167 Å and the angles 90.00°, 90.00° and 90.00°. The inequivalent atoms are Pm at (0.000, 0.000, 0.000), Pm at (0.000, 0.250, 0.250), Pr at (0.125, 0.125, 0.125), Pr at (0.150, 0.150, 0.350) and Er at (0.000, 0.000, 0.262).

For the formation energy, the calculation gives 6.3 eV per formula unit. The final energy is -4.51 eV per atom. The value obtained for the magnetic moment is 0.00 μB per atom. The value obtained for the density of states at the Fermi level is 148.54 states/eV/cell.


Material: Pm4Pr5Er4
Method: DFT, GGA-PBE
State: optimized geometry

The structure belongs to space group I4/m (No. 87); the cell edges are 13.118, 13.118 and 5.120 Å and the angles 90.00°, 90.00° and 90.00°. The inequivalent atoms are Pm at (0.077, 0.616, 0.000), Pr at (0.000, 0.000, 0.000), Pr at (0.041, 0.807, 0.500) and Er at (0.155, 0.232, 0.000).

For the formation energy, the calculation gives 0.2 eV per formula unit. The final energy is -4.69 eV per atom. The value obtained for the magnetic moment is 0.00 μB per atom. The value obtained for the density of states at the Fermi level is 37.51 states/eV/cell.


Material: PmPr7Er2
Method: DFT, GGA-PBE
State: optimized geometry

The structure belongs to space group Immm (No. 71); the cell edges are 5.580, 7.910 and 16.461 Å and the angles 90.00°, 90.00° and 90.00°. The inequivalent atoms are Pm at (0.000, 0.000, 0.000), Pr at (0.000, 0.000, 0.500), Pr at (0.000, 0.301, 0.370), Pr at (0.000, 0.500, 0.157) and Er at (0.000, 0.000, 0.213).

As for the offset from the most stable computed form: 0.00 eV/f.u. For the formation energy, the calculation gives 1.9 eV per formula unit. The final energy is -4.54 eV per atom. The value obtained for the magnetic moment is 0.00 μB per atom. The value obtained for the density of states at the Fermi level is 27.40 states/eV/cell.


Material: Pm4Pr5Er3
Method: DFT, GGA-PBE
State: optimized geometry

The structure belongs to space group C2/m (No. 12); the cell edges are 13.075, 5.910 and 10.690 Å and the angles 90.00°, 96.06° and 90.00°. The inequivalent atoms are Pm at (0.096, 0.000, 0.103), Pm at (0.151, 0.000, 0.766), Pr at (0.000, 0.500, 0.500), Pr at (0.085, 0.500, 0.251), Pr at (0.159, 0.500, 0.929), Er at (0.000, 0.000, 0.500) and Er at (0.244, 0.000, 0.404).

For the formation energy, the calculation gives 2.8 eV per formula unit. The final energy is -4.48 eV per atom. The value obtained for the magnetic moment is 0.01 μB per atom. The value obtained for the density of states at the Fermi level is 33.74 states/eV/cell.


Material: Pm4Pr3Er2
Method: DFT, GGA-PBE
State: optimized geometry

The structure belongs to space group P3m1 (No. 156); the cell edges are 3.6367, 3.6367 and 27.1444 Å and the angles 90.00°, 90.00° and 120.00°. The inequivalent atoms are Pm at (0.0000, 0.0000, 0.0000), Pm at (0.0000, 0.0000, 0.2227), Pm at (0.3333, 0.6667, 0.3311), Pm at (0.3333, 0.6667, 0.5569), Pr at (0.0000, 0.0000, 0.4437), Pr at (0.3333, 0.6667, 0.1080), Pr at (0.3333, 0.6667, 0.7711), Er at (0.0000, 0.0000, 0.6611) and Er at (0.0000, 0.0000, 0.8759).

As for the offset from the most stable computed form: 0.51 eV/f.u. For the formation energy, the calculation gives 0.7 eV per formula unit. The final energy is -4.65 eV per atom. The value obtained for the magnetic moment is 0.00 μB per atom. The value obtained for the density of states at the Fermi level is 16.18 states/eV/cell.


Material: Pm5PrEr12
Method: DFT, GGA-PBE
State: optimized geometry

The structure belongs to space group C2/m (No. 12); the cell edges are 11.335, 17.261 and 5.917 Å and the angles 90.00°, 90.01° and 90.00°. The inequivalent atoms are Pm at (0.000, 0.000, 0.000), Pm at (0.000, 0.168, 0.500), Pm at (0.000, 0.332, 0.000), Pr at (0.000, 0.500, 0.500), Er at (0.175, 0.000, 0.451), Er at (0.178, 0.167, 0.053), Er at (0.178, 0.333, 0.447) and Er at (0.178, 0.500, 0.049).

For the formation energy, the calculation gives 1.8 eV per formula unit. The final energy is -4.53 eV per atom. The value obtained for the magnetic moment is 0.00 μB per atom. The value obtained for the density of states at the Fermi level is 61.81 states/eV/cell.


Material: PmPr6Er12
Method: DFT, GGA-PBE
State: optimized geometry

The structure belongs to space group R-3m (No. 166, hexagonal axes); the cell edges are 13.6240, 13.6240 and 12.3108 Å and the angles 90.00°, 90.00° and 120.00°. The inequivalent atoms are Pm at (0.0000, 0.0000, 0.0000), Pr at (0.0064, 0.5032, 0.7268), Er at (0.0000, 0.3845, 0.5000) and Er at (0.0950, 0.1900, 0.3524).

As for the offset from the most stable computed form: 4.81 eV/f.u. For the formation energy, the calculation gives 9.0 eV per formula unit. The final energy is -4.17 eV per atom. The value obtained for the magnetic moment is 0.00 μB per atom. The value obtained for the density of states at the Fermi level is 74.18 states/eV/cell.


Material: PmPr3Er3
Method: DFT, GGA-PBE
State: optimized geometry

The structure belongs to space group R-3 (No. 148, hexagonal axes); the cell edges are 9.4243, 9.4243 and 18.7540 Å and the angles 90.00°, 90.00° and 120.00°. The inequivalent atoms are Pm at (0.0000, 0.0000, 0.0914), Pr at (0.0498, 0.8078, 0.5773) and Er at (0.0493, 0.8137, 0.7602).

As for the offset from the most stable computed form: 0.71 eV/f.u. For the formation energy, the calculation gives 0.9 eV per formula unit. The final energy is -4.55 eV per atom. The value obtained for the magnetic moment is 0.00 μB per atom. The value obtained for the density of states at the Fermi level is 53.34 states/eV/cell.


Material: PmPr10Er6
Method: DFT, GGA-PBE
State: optimized geometry

The structure belongs to space group P-31m (No. 162); the cell edges are 9.8986, 9.8986 and 6.9510 Å and the angles 90.00°, 90.00° and 120.00°. The inequivalent atoms are Pm at (0.0000, 0.0000, 0.0000), Pr at (0.0000, 0.2776, 0.3198), Pr at (0.3333, 0.6667, 0.0000), Pr at (0.3333, 0.6667, 0.5000) and Er at (0.0000, 0.3673, 0.8152).

For the formation energy, the calculation gives 2.2 eV per formula unit. The final energy is -4.57 eV per atom. The value obtained for the magnetic moment is 0.00 μB per atom. The value obtained for the density of states at the Fermi level is 26.35 states/eV/cell.


Material: Pm2Pr5Er3
Method: DFT, GGA-PBE
State: optimized geometry

The structure belongs to space group C2/c (No. 15); the cell edges are 10.909, 14.997 and 10.090 Å and the angles 90.00°, 122.62° and 90.00°. The inequivalent atoms are Pm at (0.152, 0.121, 0.058), Pr at (0.000, 0.229, 0.250), Pr at (0.000, 0.269, 0.750), Pr at (0.000, 0.477, 0.750), Pr at (0.246, 0.379, 0.244), Er at (0.000, 0.021, 0.250) and Er at (0.156, 0.376, 0.556).

As for the offset from the most stable computed form: 0.00 eV/f.u. For the formation energy, the calculation gives 1.8 eV per formula unit. The final energy is -4.53 eV per atom. The value obtained for the magnetic moment is 0.00 μB per atom. The value obtained for the density of states at the Fermi level is 69.77 states/eV/cell.